Record 1
Entry from Alexandria via LeMat-Bulk: an optimized crystal structure of BPRhCS (GGA-PBE). Values from VASP.

Computed properties:
Formation energy from raw total energies, eV/atom: 0.101
Space group: P1
E above lowest polymorph, meV/atom: 251
E_tot, eV for the cell shown: -32.3

Cell and atoms, written as Quantum ESPRESSO input:
```
&SYSTEM
  ibrav = 0, nat = 5, ntyp = 5
/
ATOMIC_SPECIES
B 10.81 B.upf
C 12.01 C.upf
Rh 102.91 Rh.upf
P 30.97 P.upf
S 32.06 S.upf
ATOMIC_POSITIONS angstrom
B -2.5558 -1.9018 -0.0266
C -1.3858 -0.8151 -0.1145
Rh -2.3105 -2.7482 1.9831
P -2.7720 -3.3373 -1.3733
S -3.8195 -4.5508 1.5384
CELL_PARAMETERS angstrom
-3.7769 -0.2067 1.2347
-2.2868 -1.9926 -2.7547
0.3179 -3.7618 1.8246
```

Record 2
Entry from Alexandria via LeMat-Bulk: an optimized crystal structure of AgAu2Br (GGA-PBE). Values from VASP.

Computed properties:
Formation energy from raw total energies, eV/atom: 0.124
Space group: R3m
E above lowest polymorph, meV/atom: 90
E_tot, eV for the cell shown: -10.6

Cell and atoms, written as Quantum ESPRESSO input:
```
&SYSTEM
  ibrav = 0, nat = 4, ntyp = 3
/
ATOMIC_SPECIES
Au 196.97 Au.upf
Ag 107.87 Ag.upf
Br 79.90 Br.upf
ATOMIC_POSITIONS angstrom
Au -6.8601 12.3557 17.0716
Au -1.7595 3.1691 4.3786
Ag -5.1203 9.2221 12.7421
Br -3.4200 6.1598 8.5109
CELL_PARAMETERS angstrom
-2.6808 5.7565 4.3521
-3.8305 2.6814 6.1158
-0.3528 3.9248 6.6134
```

Record 3
Entry from Alexandria via LeMat-Bulk: an optimized crystal structure of LiCuP2O6 (GGA-PBE). Values from VASP.

Computed properties:
Formation energy from raw total energies, eV/atom: -1.891
Space group: C2/c
E above lowest polymorph, meV/atom: 3
E_tot, eV for the cell shown: -131.0

Cell and atoms, written as Quantum ESPRESSO input:
```
&SYSTEM
  ibrav = 0, nat = 20, ntyp = 4
/
ATOMIC_SPECIES
Li 6.94 Li.upf
P 30.97 P.upf
O 16.00 O.upf
Cu 63.55 Cu.upf
ATOMIC_POSITIONS angstrom
Li -4.3511 -4.8581 -4.1394
P -4.9434 1.2112 -2.1620
P -7.7181 -2.5331 -1.6637
O -8.1395 -0.9716 -1.8566
O -3.7248 2.0001 -2.5712
O -9.3537 1.2009 -1.9680
O -3.3079 -2.5227 -1.8578
O -5.9809 1.1151 -3.3974
Cu -6.3649 -1.8550 -4.2624
O -6.6807 -2.4370 -0.4284
O -1.9649 -0.2996 -1.8511
O -6.9136 -2.9836 -2.8478
Cu -6.2966 0.5331 0.4366
O -5.7480 1.6618 -0.9780
P -3.1842 -1.0865 -1.4403
O -10.6967 -1.0223 -1.9746
Li -8.3104 3.5363 0.3137
O -4.5220 -0.3502 -1.9691
O -8.9368 -3.3219 -1.2545
P -9.4774 -0.2353 -2.3854
CELL_PARAMETERS angstrom
-2.6137 2.0883 -3.5715
-3.6051 -5.6368 -3.4644
-6.4428 2.2267 3.2101
```

Record 4
Entry from Alexandria via LeMat-Bulk: an optimized crystal structure of KBaCu2Br8 (GGA-PBE). Values from VASP.

Computed properties:
Formation energy from raw total energies, eV/atom: -0.883
Space group: I-4
E_tot, eV for the cell shown: -35.2

Cell and atoms, written as Quantum ESPRESSO input:
```
&SYSTEM
  ibrav = 0, nat = 12, ntyp = 4
/
ATOMIC_SPECIES
Br 79.90 Br.upf
K 39.10 K.upf
Cu 63.55 Cu.upf
Ba 137.33 Ba.upf
ATOMIC_POSITIONS angstrom
Br 1.9693 2.7601 5.0577
Br -0.8383 1.6292 2.9225
K 3.5985 0.0000 3.9901
Br 1.9560 -0.9103 6.9500
Br -1.9692 4.4369 5.0577
Br 0.8384 5.5677 2.9225
Br -1.9560 0.9103 6.9500
Br 4.5089 5.5544 1.0302
Cu 3.5985 3.5984 0.0000
Cu 0.0000 3.5985 3.9901
Ba 0.0000 0.0000 0.0000
Br 2.6882 1.6424 1.0302
CELL_PARAMETERS angstrom
7.1970 -0.0001 0.0000
0.0001 7.1970 0.0000
-3.5985 -3.5984 7.9802
```

Record 5
Entry from Alexandria via LeMat-Bulk: an optimized crystal structure of ZrCdRu (GGA-PBE). Values from VASP.

Computed properties:
Space group: P3m1
Formation energy, eV per atom: 0.037
E above lowest polymorph, meV/atom: 331
E_tot, eV for the cell shown: -18.6

Cell and atoms, written as Quantum ESPRESSO input:
```
&SYSTEM
  ibrav = 0, nat = 3, ntyp = 3
/
ATOMIC_SPECIES
Cd 112.41 Cd.upf
Zr 91.22 Zr.upf
Ru 101.07 Ru.upf
ATOMIC_POSITIONS angstrom
Cd 0.1012 0.0392 0.0049
Zr 3.4827 2.2586 1.8631
Ru 2.4905 -0.1391 1.6781
CELL_PARAMETERS angstrom
-1.0593 2.5135 1.7804
0.9878 -2.7345 1.4685
6.1458 2.3796 0.2971
```

Record 6
Entry from Alexandria via LeMat-Bulk: an optimized crystal structure of LaNdSn2 (GGA-PBE). Values from VASP.

Computed properties:
Space group: P4/mmm
Formation energy, eV per atom: -0.697
E_tot, eV for the cell shown: -20.5

Cell and atoms, written as Quantum ESPRESSO input:
```
&SYSTEM
  ibrav = 0, nat = 4, ntyp = 3
/
ATOMIC_SPECIES
La 138.91 La.upf
Sn 118.71 Sn.upf
Nd 144.24 Nd.upf
ATOMIC_POSITIONS angstrom
La 2.2852 2.5358 2.5358
Sn 0.0000 2.5358 0.0000
Sn 0.0000 0.0000 2.5358
Nd 2.2852 0.0000 0.0000
CELL_PARAMETERS angstrom
4.5704 0.0000 0.0000
0.0000 5.0717 0.0000
0.0000 0.0000 5.0717
```

Record 7
Entry from Alexandria via LeMat-Bulk: an optimized crystal structure of LiBeSb2 (GGA-PBE). Values from VASP.

Computed properties:
Formation energy from raw total energies, eV/atom: 0.051
Space group: C2/m
E_tot, eV for the cell shown: -13.7

Cell and atoms, written as Quantum ESPRESSO input:
```
&SYSTEM
  ibrav = 0, nat = 4, ntyp = 3
/
ATOMIC_SPECIES
Sb 121.76 Sb.upf
Be 9.01 Be.upf
Li 6.94 Li.upf
ATOMIC_POSITIONS angstrom
Sb -5.1375 -1.1173 1.9723
Sb -3.5233 -4.1481 -0.3090
Be -5.0443 -6.2132 -0.5772
Li -1.6814 -2.0711 -0.1924
CELL_PARAMETERS angstrom
-1.4584 -2.8352 -2.9259
0.0306 -4.3259 0.1081
-5.2979 -1.1232 2.0481
```

Record 8
Entry from Alexandria via LeMat-Bulk: an optimized crystal structure of MnIn2Si (GGA-PBE). Values from VASP.

Computed properties:
Formation energy from raw total energies, eV/atom: 0.242
Space group: Imm2
E above lowest polymorph, meV/atom: 91
E_tot, eV for the cell shown: -19.1

Cell and atoms, written as Quantum ESPRESSO input:
```
&SYSTEM
  ibrav = 0, nat = 4, ntyp = 3
/
ATOMIC_SPECIES
Si 28.09 Si.upf
Mn 54.94 Mn.upf
In 114.82 In.upf
ATOMIC_POSITIONS angstrom
Si 0.5688 -0.5079 4.0306
Mn -1.0323 -1.6247 5.5150
In -1.4581 1.3745 2.6257
In -2.1184 -3.3341 11.3173
CELL_PARAMETERS angstrom
-3.3522 -0.2034 5.6752
1.2289 -3.1384 5.6681
1.2681 4.2621 -4.8696
```